A geometry-optimized Tb2TmIn3 structure, computed with GGA-PBE.

The structure belongs to space group P4/mmm (No. 123); the cell edges are 3.536, 3.536 and 12.584 Å and the angles 90.00°, 90.00° and 90.00°. Symmetry generates all atoms from Tb at (0.000, 0.000, 0.169), Tm at (0.000, 0.000, 0.500), In at (0.500, 0.500, 0.000) and In at (0.500, 0.500, 0.337).

As for the raw total energy: -4.118 eV/atom.

A geometry-optimized TbTmIn structure, computed with GGA-PBE.

The structure belongs to space group F-43m (No. 216); the cell edges are 7.287, 7.287 and 7.287 Å and the angles 90.00°, 90.00° and 90.00°. Symmetry generates all atoms from Tb at (0.000, 0.000, 0.000), Tm at (0.000, 0.000, 0.500) and In at (0.250, 0.250, 0.250).

The value obtained for the relative energy among the computed polymorphs is 0 meV per atom. As for the raw total energy: -4.034 eV/atom.

A geometry-optimized Tb2Tm2In structure, computed with GGA-PBE.

The structure belongs to space group P4/mbm (No. 127); the cell edges are 8.079, 8.079 and 4.604 Å and the angles 90.00°, 90.00° and 90.00°. Symmetry generates all atoms from Tb at (0.153, 0.347, 0.000), Tm at (0.147, 0.647, 0.500) and In at (0.000, 0.000, 0.500).

As for the raw total energy: -4.192 eV/atom.

Question: Among the records above, which one has the lowest raw total energy?
Answer: Tb2Tm2In